The following is a DFT calculation (GGA-PBE) of SrThU after structural relaxation.

Cell lengths 5.492, 5.492, 5.492 Å; angles 60.00, 60.00, 60.00 degrees
Fractional positions:
Sr (0.000, 0.000, 0.000)
Th (0.500, 0.500, 0.500)
U (0.250, 0.250, 0.250)

Values from the calculation:
* offset from the most stable computed form: 0.0 kJ/mol of atoms
* electronic total energy: -5.30 eV per atom